Crystalline MnTlTe2 at its relaxed geometry, computed with PBE.

Cell and atoms, written as CIF:
```
data_MnTlTe2
_cell_length_a 6.193
_cell_length_b 6.193
_cell_length_c 12.255
_cell_angle_alpha 90.00
_cell_angle_beta 90.00
_cell_angle_gamma 90.00
_symmetry_space_group_name_H-M 'I 41/a m d'
_symmetry_Int_Tables_number 141
loop_
_symmetry_equiv_pos_as_xyz
'x,y,z'
'-x,-y,-z'
'-y+1/4,x+3/4,z+1/4'
'y+1/4,-x+3/4,-z+1/4'
'-x+1/2,-y,z+1/2'
'x+1/2,y,-z+1/2'
'y+1/4,-x+1/4,z+3/4'
'-y+1/4,x+1/4,-z+3/4'
'x,-y,-z'
'-x,y,z'
'-y+1/4,-x+1/4,-z+3/4'
'y+1/4,x+1/4,z+3/4'
'-x+1/2,y,-z+1/2'
'x+1/2,-y,z+1/2'
'y+1/4,x+3/4,-z+1/4'
'-y+1/4,-x+3/4,z+1/4'
'x+1/2,y+1/2,z+1/2'
'-x+1/2,-y+1/2,-z+1/2'
'-y+3/4,x+1/4,z+3/4'
'y+3/4,-x+1/4,-z+3/4'
'-x,-y+1/2,z'
'x,y+1/2,-z'
'y+3/4,-x+3/4,z+1/4'
'-y+3/4,x+3/4,-z+1/4'
'x+1/2,-y+1/2,-z+1/2'
'-x+1/2,y+1/2,z+1/2'
'-y+3/4,-x+3/4,-z+1/4'
'y+3/4,x+3/4,z+1/4'
'-x,y+1/2,-z'
'x,-y+1/2,z'
'y+3/4,x+1/4,-z+3/4'
'-y+3/4,-x+1/4,z+3/4'
loop_
_atom_site_label
_atom_site_type_symbol
_atom_site_fract_x
_atom_site_fract_y
_atom_site_fract_z
_atom_site_occupancy
Mn1 Mn 0.000 0.250 0.375 1
Tl1 Tl 0.000 0.250 0.875 1
Te1 Te 0.000 0.250 0.152 1
```

## Properties
E_form (uncorrected): -100 meV/atom